A plane-wave DFT calculation with PBE was carried out for crystalline K3Hg5Bi2 at its relaxed geometry.

## Properties
* Fermi-level density of states: 6.6 states/eV per cell
* symmetry: Ibam, No. 72
* ΔH_f (0 K): -0.209 eV per atom

Geometry as POSCAR:
```
K3Hg5Bi2
1.0
-1.195 3.481 6.445
-3.769 -6.888 7.294
7.684 -2.492 7.043
K Bi Hg
6 4 10
Direct
0.633 0.582 0.153
0.133 0.153 0.582
0.367 0.418 0.847
0.250 0.000 0.000
0.867 0.847 0.418
0.750 0.000 0.000
0.358 0.977 0.308
0.858 0.308 0.977
0.642 0.023 0.692
0.142 0.692 0.023
0.028 0.222 0.222
0.358 0.731 0.553
0.250 0.500 0.500
0.472 0.778 0.778
0.642 0.269 0.447
0.528 0.222 0.222
0.858 0.553 0.731
0.972 0.778 0.778
0.142 0.447 0.269
0.750 0.500 0.500
```